Record 1
This record from Alexandria via LeMat-Bulk describes an optimized crystal structure of ZnCrAs3. The functional is GGA-PBE.

The space group is Pm-3m (No. 221) and the conventional cell measures 4.754, 4.754 and 4.754 Å, with angles of 90.00, 90.00 and 90.00 degrees. The inequivalent atoms are Zn at (0.000, 0.000, 0.000), Cr at (0.500, 0.500, 0.500) and As at (0.000, 0.000, 0.500).

The relative energy among the computed polymorphs comes out at 880 meV/atom. As for the calculated volume: 21.5 Å³ per atom. For the energy relative to the elements, the calculation gives 1283 meV per atom.



Record 2
This record from Alexandria via LeMat-Bulk describes an optimized crystal structure of BaLiMg2Tl. The functional is GGA-PBE.

The space group is P4/mmm (No. 123) and the conventional cell measures 5.571, 5.571 and 5.414 Å, with angles of 90.00, 90.00 and 90.00 degrees. The inequivalent atoms are Ba at (0.000, 0.000, 0.000), Li at (0.500, 0.500, 0.000), Mg at (0.000, 0.500, 0.500) and Tl at (0.500, 0.500, 0.500).

The relative energy among the computed polymorphs comes out at 67 meV/atom. As for the calculated volume: 33.6 Å³ per atom. For the energy relative to the elements, the calculation gives 10 meV per atom.



Record 3
This record from Alexandria via LeMat-Bulk describes an optimized crystal structure of SrLi2Br. The functional is GGA-PBE.

The space group is I-42d (No. 122) and the conventional cell measures 8.963, 8.963 and 6.265 Å, with angles of 90.00, 90.00 and 90.00 degrees. The inequivalent atoms are Sr at (0.000, 0.000, 0.000), Li at (0.172, 0.250, 0.625) and Br at (0.000, 0.000, 0.500).

The relative energy among the computed polymorphs comes out at 75 meV/atom. As for the calculated volume: 31.5 Å³ per atom.



Record 4
This record from Alexandria via LeMat-Bulk describes an optimized crystal structure of HgAs2Ir. The functional is GGA-PBE.

The space group is C2/m (No. 12) and the conventional cell measures 6.571, 3.774 and 7.997 Å, with angles of 90.00, 106.21 and 90.00 degrees. The inequivalent atoms are Hg at (0.000, 0.000, 0.000), As at (0.114, 0.000, 0.342) and Ir at (0.000, 0.500, 0.500).

As for the calculated volume: 23.8 Å³ per atom. For the energy relative to the elements, the calculation gives -94 meV per atom.



Record 5
This record from Alexandria via LeMat-Bulk describes an optimized crystal structure of Ba2TaPb. The functional is GGA-PBE.

The space group is R-3m (No. 166, hexagonal axes) and the conventional cell measures 3.5401, 3.5401 and 36.5036 Å, with angles of 90.00, 90.00 and 120.00 degrees. The inequivalent atoms are Ba at (0.0000, 0.0000, 0.2436), Ta at (0.0000, 0.0000, 0.5000) and Pb at (0.0000, 0.0000, 0.0000).

As for the calculated volume: 33.0 Å³ per atom. For the energy relative to the elements, the calculation gives 703 meV per atom.



Record 6
This record from Alexandria via LeMat-Bulk describes an optimized crystal structure of LaTb2Nd4Er. The functional is GGA-PBE.

The space group is P2/m (No. 10) and the conventional cell measures 6.280, 3.655 and 12.050 Å, with angles of 90.00, 100.17 and 90.00 degrees. The inequivalent atoms are La at (0.000, 0.000, 0.000), Tb at (0.000, 0.500, 0.500), Tb at (0.500, 0.000, 0.500), Nd at (0.250, 0.000, 0.749), Nd at (0.252, 0.500, 0.254) and Er at (0.500, 0.500, 0.000).

As for the calculated volume: 34.0 Å³ per atom. For the energy relative to the elements, the calculation gives 17 meV per atom.



Record 7
This record from Alexandria via LeMat-Bulk describes an optimized crystal structure of TlCd2Os. The functional is GGA-PBE.

The space group is Cm (No. 8) and the conventional cell measures 10.497, 3.364 and 5.078 Å, with angles of 90.00, 115.58 and 90.00 degrees. The inequivalent atoms are Tl at (0.000, 0.000, 0.000), Cd at (0.223, 0.000, 0.615), Cd at (0.454, 0.000, 0.454) and Os at (0.231, 0.500, 0.071).

The relative energy among the computed polymorphs comes out at 131 meV/atom. As for the calculated volume: 20.2 Å³ per atom. For the energy relative to the elements, the calculation gives 608 meV per atom.



Record 8
This record from Alexandria via LeMat-Bulk describes an optimized crystal structure of Na3LiSb2Se6. The functional is GGA-PBE.

The space group is C2/m (No. 12) and the conventional cell measures 6.943, 12.028 and 7.464 Å, with angles of 90.00, 108.21 and 90.00 degrees. The inequivalent atoms are Na at (0.000, 0.000, 0.000), Na at (0.000, 0.326, 0.000), Li at (0.000, 0.500, 0.500), Sb at (0.000, 0.166, 0.500), Se at (0.240, 0.334, 0.721) and Se at (0.241, 0.000, 0.727).

The calculation puts the electronic total energy at -3.604 eV per atom. As for the calculated volume: 24.7 Å³ per atom.